Entry from the Open Quantum Materials Database: a relaxed structure of Hf4Sb2AsC (GGA-PBE).

Unit cell a=3.626 b=3.626 c=13.774 alpha=90.00 beta=90.00 gamma=120.00
Sites, in units of the cell vectors:
Hf  0.333  0.667  0.616
Hf  0.667  0.333  0.083
Hf  0.667  0.333  0.384
Hf  0.333  0.667  0.917
Sb  0.333  0.667  0.237
Sb  0.667  0.333  0.763
As  0.000  0.000  0.500
C  0.000  0.000  0.000

Values from the calculation:
VASP energy (eV/atom): -8.42
SG: No. 164
Crystal system: trigonal